AlRe2Hg | GGA-PBE | optimized geometry

a b c (Å): 2.7458 2.7458 9.2730
angles (deg): 90.00 90.00 111.20
With the nearest neighbours (Å) after each atom.
Element x y z (fractional)
Al 0.0000 0.0000 0.0000  4 Re 2.61, 4 Al 2.75
Re 0.5000 0.5000 0.2260  2 Al 2.61, 4 Re 2.75
Re 0.5000 0.5000 0.7740  2 Al 2.61, 4 Re 2.75
Hg 0.0000 0.0000 0.5000  4 Hg 2.75, 4 Re 2.98

ΔH_f (0 K)	0.476	eV per atom
spin magnetization	0.0	μB per formula unit
energy above the most stable polymorph in this dataset	323	meV per atom
D(E_F)	2.343	states/eV/cell
E_tot	-6.7588	eV per atom


Np2OsPd | GGA-PBE | optimized geometry

a b c (Å): 3.1683 3.1683 7.9315
angles (deg): 90.00 90.00 90.00
With the nearest neighbours (Å) after each atom.
Element x y z (fractional)
Np 0.0000 0.0000 0.2343  4 Os 2.91, 4 Pd 3.08, 4 Np 3.17
Np 0.0000 0.0000 0.7657  4 Os 2.91, 4 Pd 3.08, 4 Np 3.17
Os 0.5000 0.5000 0.0000  8 Np 2.91, 4 Os 3.17
Pd 0.5000 0.5000 0.5000  8 Np 3.08, 4 Pd 3.17

ΔH_f (0 K)	0.014	eV per atom
spin magnetization	7.4	μB per formula unit
D(E_F)	11.192	states/eV/cell
E_tot	-10.5620	eV per atom


SrMnCdGe2 | GGA-PBE | optimized geometry

a b c (Å): 4.6610 4.6610 5.0935
angles (deg): 90.00 90.00 90.00
With the nearest neighbours (Å) after each atom.
Element x y z (fractional)
Sr 0.0000 0.0000 0.0000  4 Cd 3.30, 8 Ge 3.45
Mn 0.5000 0.5000 0.5000  4 Ge 2.33, 2 Cd 2.55
Cd 0.5000 0.5000 0.0000  2 Mn 2.55
Ge 0.0000 0.5000 0.5000  2 Mn 2.33
Ge 0.5000 0.0000 0.5000  2 Mn 2.33

ΔH_f (0 K)	-0.138	eV per atom
spin magnetization	0.7	μB per formula unit
D(E_F)	3.299	states/eV/cell
E_tot	-4.3381	eV per atom


BaRePb2O6 | GGA-PBE | optimized geometry

a b c (Å): 5.7292 6.7291 10.3751
angles (deg): 90.00 121.98 90.00
With the nearest neighbours (Å) after each atom.
Element x y z (fractional)
Ba 0.0000 0.0000 0.0000  6 O 2.65-2.81
Ba 0.0000 0.5000 0.5000  6 O 2.65-2.81
Re 0.5000 0.0000 0.5000  6 O 1.87-2.01
Re 0.5000 0.5000 0.0000  6 O 1.87-2.01
Pb 0.2187 0.0455 0.7159  3 O 2.39-2.47
Pb 0.2187 0.4545 0.2159  3 O 2.39-2.47
Pb 0.7813 0.5455 0.7841  3 O 2.39-2.47
Pb 0.7813 0.9545 0.2841  3 O 2.39-2.47
O 0.1792 0.1437 0.4841  1 Re 2.01
O 0.1792 0.3563 0.9841  1 Re 2.01
O 0.2777 0.7267 0.9230  1 Re 1.87
O 0.2777 0.7733 0.4230  1 Re 1.87
O 0.3972 0.0801 0.2909  1 Re 2.00
O 0.3972 0.4199 0.7909  1 Re 2.00
O 0.6028 0.5801 0.2091  1 Re 2.00
O 0.6028 0.9199 0.7091  1 Re 2.00
O 0.7223 0.2267 0.5770  1 Re 1.87
O 0.7223 0.2733 0.0770  1 Re 1.87
O 0.8208 0.6437 0.0159  1 Re 2.01
O 0.8208 0.8563 0.5159  1 Re 2.01

spin magnetization	1.0	μB per formula unit
D(E_F)	2.911	states/eV/cell
E_tot	-6.7919	eV per atom
E_form (uncorrected)	-37.779	kcal/mol of atoms


Ac8LaSn6 | GGA-PBE | optimized geometry

a b c (Å): 9.0445 9.0445 9.0445
angles (deg): 66.13 66.13 66.13
With the nearest neighbours (Å) after each atom.
Element x y z (fractional)
Ac 0.0621 0.7294 0.3956  5 Sn 3.37-3.60
Ac 0.1664 0.1664 0.1664  6 Sn 3.59, 6 Ac 3.95-3.96
Ac 0.2706 0.6044 0.9379  5 Sn 3.37-3.60
Ac 0.3956 0.0621 0.7294  5 Sn 3.37-3.60
Ac 0.6044 0.9379 0.2706  5 Sn 3.37-3.60
Ac 0.7294 0.3956 0.0621  5 Sn 3.37-3.60
Ac 0.8336 0.8336 0.8336  6 Sn 3.59, 6 Ac 3.95-3.96
Ac 0.9379 0.2706 0.6044  5 Sn 3.37-3.60
La 0.5000 0.5000 0.5000  6 Sn 3.55, 6 Ac 3.96
Sn 0.1033 0.4340 0.7637  7 Ac 3.37-3.60, 1 La 3.55
Sn 0.2363 0.8967 0.5660  7 Ac 3.37-3.60, 1 La 3.55
Sn 0.4340 0.7637 0.1033  7 Ac 3.37-3.60, 1 La 3.55
Sn 0.5660 0.2363 0.8967  7 Ac 3.37-3.60, 1 La 3.55
Sn 0.7637 0.1033 0.4340  7 Ac 3.37-3.60, 1 La 3.55
Sn 0.8967 0.5660 0.2363  7 Ac 3.37-3.60, 1 La 3.55

ΔH_f (0 K)	-0.542	eV per atom
spin magnetization	0.0	μB per formula unit
D(E_F)	8.625	states/eV/cell
E_tot	-4.6631	eV per atom


ZnSiO3 | GGA-PBE | optimized geometry

a b c (Å): 3.5055 3.5055 3.5055
angles (deg): 90.00 90.00 90.00
With the nearest neighbours (Å) after each atom.
Element x y z (fractional)
Zn 0.0000 0.0000 0.0000  12 O 2.48
Si 0.5000 0.5000 0.5000  6 O 1.75
O 0.0000 0.5000 0.5000  2 Si 1.75
O 0.5000 0.0000 0.5000  2 Si 1.75
O 0.5000 0.5000 0.0000  2 Si 1.75

spin magnetization	0.0	μB per formula unit
D(E_F)	0.191	states/eV/cell
E_tot	-6.0006	eV per atom
E_form (uncorrected)	-38.887	kcal/mol of atoms